First-principles (PBE) data for crystalline IrOsOF2 at its relaxed geometry, as listed in the Alexandria database.

Values from the calculation:
Symmetry   P4/mmm, No. 123
Crystal system   tetragonal
Formation energy without anion corrections   0.63 eV per atom
Density   9.6 g cm⁻³

abc: 4.5516 4.5516 3.6578
angles: 90.00 90.00 90.00
Site moments in Bohr magnetons follow the coordinates.
Element x y z (fractional)
O  0.0000  0.0000  0.5000  0.03
F  0.5000  0.0000  0.0000  0.07
F  0.0000  0.5000  0.0000  0.07
Os  0.5000  0.5000  0.5000  3.36
Ir  0.0000  0.0000  0.0000  -0.07

---

First-principles (PBE) data for crystalline Y5Sb3 at its relaxed geometry, as listed in the Alexandria database.

Values from the calculation:
Symmetry   Cmmm, No. 65
Crystal system   orthorhombic
Formation energy without anion corrections   -0.78 eV per atom
Density   6.0 g cm⁻³

abc: 6.8780 6.8780 4.9024
angles: 90.00 90.00 105.35
Site moments in Bohr magnetons follow the coordinates.
Element x y z (fractional)
Sb  0.1981  0.8019  0.5000  0.00
Sb  0.8019  0.1981  0.5000  0.00
Sb  0.5000  0.5000  0.0000  -0.01
Y  0.2862  0.2862  0.5000  0.10
Y  0.0000  0.5000  0.0000  0.08
Y  0.7138  0.7138  0.5000  0.10
Y  0.5000  0.0000  0.0000  0.08
Y  0.0000  0.0000  0.0000  0.11

---

First-principles (PBE) data for crystalline PuThSnSb at its relaxed geometry, as listed in the Alexandria database.

Values from the calculation:
Symmetry   F-43m, No. 216
Crystal system   cubic
Formation energy without anion corrections   -0.46 eV per atom
Density   10.6 g cm⁻³

abc: 5.4190 5.4190 5.4190
angles: 60.00 60.00 60.00
Site moments in Bohr magnetons follow the coordinates.
Element x y z (fractional)
Pu  0.0000  0.0000  0.0000  5.43
Sn  0.2500  0.2500  0.2500  -0.06
Sb  0.7500  0.7500  0.7500  -0.04
Th  0.5000  0.5000  0.5000  0.16